Record 1
Here is crystalline LiBeCl2 at its relaxed geometry from Alexandria via LeMat-Bulk. Energies are from PBE-GGA.

a b c (Å): 3.6201 6.3226 5.1788
angles (deg): 34.93 90.00 90.00
Sites, in units of the cell vectors:
Li 0.5000 0.5000 0.5000
Cl 0.5000 0.5000 0.0000
Be 0.0000 0.0000 0.5000
Cl 0.0000 0.0000 0.0000

Calculated values
Calculated volume: 16.97 A^3/atom
E_tot: -0.1104 Ha/atom
Symmetry: P2/m

Record 2
Here is crystalline LiBe2Cl at its relaxed geometry from Alexandria via LeMat-Bulk. Energies are from PBE-GGA.

a b c (Å): 3.1325 5.5618 4.3411
angles (deg): 90.00 90.00 90.00
Sites, in units of the cell vectors:
Be 0.0000 0.0000 0.4936
Cl 0.5000 0.5000 0.2500
Be 0.0000 0.0000 0.0064
Li 0.5000 0.5000 0.7500

Calculated values
Calculated volume: 18.91 A^3/atom
E_tot: -0.0908 Ha/atom
Symmetry: Pmmm

Record 3
Here is crystalline LiBeCl2 at its relaxed geometry from Alexandria via LeMat-Bulk. Energies are from PBE-GGA.

a b c (Å): 11.3190 11.3190 11.3190
angles (deg): 16.51 16.51 16.51
Sites, in units of the cell vectors:
Cl 0.1290 0.1290 0.1290
Li 0.0000 0.0000 0.0000
Be 0.5000 0.5000 0.5000
Cl 0.8710 0.8710 0.8710

Calculated values
Calculated volume: 25.53 A^3/atom
E_tot: -0.1126 Ha/atom
Symmetry: R-3m

Record 4
Here is crystalline LiBeCl2 at its relaxed geometry from Alexandria via LeMat-Bulk. Energies are from PBE-GGA.

a b c (Å): 8.0905 8.3634 8.3634
angles (deg): 156.85 156.33 33.63
Sites, in units of the cell vectors:
Li 0.6142 0.5308 0.0834
Be 0.3506 0.6903 0.6603
Cl 0.0939 0.0162 0.0776
Cl 0.4414 0.2627 0.1787

Calculated values
Calculated volume: 22.29 A^3/atom
E_tot: -0.1151 Ha/atom
Symmetry: Cm

Record 5
Here is crystalline LiBeCl2 at its relaxed geometry from Alexandria via LeMat-Bulk. Energies are from PBE-GGA.

a b c (Å): 3.1811 4.5461 4.5461
angles (deg): 90.00 90.00 90.00
Sites, in units of the cell vectors:
Cl 0.0000 0.5000 0.5000
Cl 0.0000 0.0000 0.0000
Li 0.5000 0.5000 0.0000
Be 0.5000 0.0000 0.5000

Calculated values
Calculated volume: 16.44 A^3/atom
E_tot: -0.1008 Ha/atom
Symmetry: P4/mmm

Record 6
Here is crystalline LiBeCl2 at its relaxed geometry from Alexandria via LeMat-Bulk. Energies are from PBE-GGA.

a b c (Å): 3.3536 4.8210 6.6369
angles (deg): 64.30 90.00 90.00
Sites, in units of the cell vectors:
Be 0.5000 0.0550 0.6772
Cl 0.5000 0.0090 0.3920
Li 0.0000 0.6112 0.5631
Cl 0.0000 0.8248 0.8677

Calculated values
Calculated volume: 24.17 A^3/atom
E_tot: -0.1185 Ha/atom
Symmetry: Pm

Record 7
Here is crystalline LiBe2Cl at its relaxed geometry from Alexandria via LeMat-Bulk. Energies are from PBE-GGA.

a b c (Å): 2.9253 2.9253 7.6705
angles (deg): 90.00 90.00 118.52
Sites, in units of the cell vectors:
Cl 0.5000 0.5000 0.2500
Be 0.0000 0.0000 0.4817
Be 0.0000 0.0000 0.0183
Li 0.5000 0.5000 0.7500

Calculated values
Calculated volume: 14.42 A^3/atom
E_tot: -0.0886 Ha/atom
Symmetry: Cmmm

Record 8
Here is crystalline Li2BeCl2 at its relaxed geometry from Alexandria via LeMat-Bulk. Energies are from PBE-GGA.

a b c (Å): 8.3233 8.3233 8.3233
angles (deg): 149.88 149.88 43.12
Sites, in units of the cell vectors:
Be 0.0000 0.0000 0.0000
Cl 0.3160 0.3160 0.0000
Cl 0.6840 0.6840 0.0000
Li 0.2500 0.7500 0.5000
Li 0.7500 0.2500 0.5000

Calculated values
Calculated volume: 28.96 A^3/atom
E_tot: -0.1080 Ha/atom
Symmetry: I4/mmm

Record 9
Here is crystalline Li3BeCl at its relaxed geometry from Alexandria via LeMat-Bulk. Energies are from PBE-GGA.

a b c (Å): 4.5616 4.5616 4.5616
angles (deg): 90.00 90.00 90.00
Sites, in units of the cell vectors:
Li 0.0000 0.0000 0.5000
Be 0.5000 0.5000 0.5000
Li 0.0000 0.5000 0.0000
Cl 0.0000 0.0000 0.0000
Li 0.5000 0.0000 0.0000

Calculated values
Calculated volume: 18.98 A^3/atom
E_tot: -0.0896 Ha/atom
Symmetry: Pm-3m

Record 10
Here is crystalline Li3BeCl6 at its relaxed geometry from Alexandria via LeMat-Bulk. Energies are from PBE-GGA.

a b c (Å): 5.6562 9.0622 9.0622
angles (deg): 108.64 90.00 90.00
Sites, in units of the cell vectors:
Be 0.0167 0.2055 0.7945
Cl 0.6430 0.5701 0.1240
Cl 0.6671 0.2031 0.7969
Cl 0.6651 0.9182 0.0818
Cl 0.1671 0.7969 0.2031
Be 0.5167 0.7945 0.2055
Cl 0.1651 0.0818 0.9182
Li 0.4205 0.3161 0.0298
Cl 0.1430 0.1240 0.5701
Cl 0.4146 0.6741 0.6693
Cl 0.4146 0.3307 0.3259
Li 0.4205 0.9702 0.6839
Cl 0.1430 0.4299 0.8760
Cl 0.9146 0.3259 0.3307
Li 0.9205 0.0298 0.3161
Li 0.9205 0.6839 0.9702
Cl 0.6430 0.8760 0.4299
Li 0.1803 0.4098 0.5902
Li 0.6803 0.5902 0.4098
Cl 0.9146 0.6693 0.6741

Calculated values
Calculated volume: 22.01 A^3/atom
E_tot: -0.1283 Ha/atom
Symmetry: Cmc2_1

Record 11
Here is crystalline LiBeCl2 at its relaxed geometry from Alexandria via LeMat-Bulk. Energies are from PBE-GGA.

a b c (Å): 5.0920 5.0920 5.0920
angles (deg): 143.19 97.21 94.24
Sites, in units of the cell vectors:
Cl 0.4722 0.4722 0.0000
Li 0.7500 0.2500 0.5000
Be 0.2500 0.7500 0.5000
Cl 0.0278 0.0278 0.0000

Calculated values
Calculated volume: 18.76 A^3/atom
E_tot: -0.1063 Ha/atom
Symmetry: Immm

Record 12
Here is crystalline LiBeCl2 at its relaxed geometry from Alexandria via LeMat-Bulk. Energies are from PBE-GGA.

a b c (Å): 3.7221 3.7221 8.1653
angles (deg): 90.00 90.00 125.71
Sites, in units of the cell vectors:
Cl 0.0000 0.0000 0.9374
Li 0.0000 0.0000 0.4616
Be 0.5000 0.5000 0.7983
Cl 0.5000 0.5000 0.3027

Calculated values
Calculated volume: 22.96 A^3/atom
E_tot: -0.1070 Ha/atom
Symmetry: Cmm2

Number 2 is which compound?
LiBe2Cl

calculated volume of number 11 (LiBeCl2)?
18.76 A^3/atom

The highest E_tot belongs to which entry?
number 7

Among the records above, which one has the lowest E_tot?
Li3BeCl6